# 1
IrOs2W after structural relaxation. Source: Alexandria via LeMat-Bulk, functional GGA-PBE. Values from VASP.

Output
total magnetic moment = 0.00 μB/cell
calculated formation energy = 297 kJ/mol of formula units
mass density = 15.7 Mg/m³
E above lowest polymorph = 3.57 eV per formula unit
energy = -10.30 eV/atom
Fermi-level density of states = 6.754 states/eV/cell

Structure (Quantum ESPRESSO input):
```
&SYSTEM
  ibrav = 0, nat = 8, ntyp = 3
/
ATOMIC_SPECIES
Ir 192.22 Ir.upf
Os 190.23 Os.upf
W 183.84 W.upf
CELL_PARAMETERS angstrom
2.7405 0.0000 0.0000
-1.3703 5.5956 0.0000
0.0000 0.0000 10.4217
ATOMIC_POSITIONS angstrom
Ir 0.0000 2.1679 2.6054
Ir 1.3703 3.4277 7.8163
Os 0.0000 5.1283 9.3228
Os 1.3703 0.4673 1.0989
Os 1.3703 0.4673 4.1120
Os 0.0000 5.1283 6.3097
W 1.3703 4.4338 2.6054
W 0.0000 1.1618 7.8163
```

# 2
AlGaFe6 after structural relaxation. Source: Alexandria via LeMat-Bulk, functional GGA-PBE. Values from VASP.

Output
total magnetic moment = 14.08 μB/cell
calculated formation energy = 138 kJ/mol of formula units
mass density = 6.5 Mg/m³
E above lowest polymorph = 2.71 eV per formula unit
energy = -7.01 eV/atom
Fermi-level density of states = 6.727 states/eV/cell

Structure (Quantum ESPRESSO input):
```
&SYSTEM
  ibrav = 0, nat = 8, ntyp = 3
/
ATOMIC_SPECIES
Al 26.98 Al.upf
Ga 69.72 Ga.upf
Fe 55.84 Fe.upf
CELL_PARAMETERS angstrom
-2.5689 1.6555 3.1153
-4.0897 -1.4862 -0.3323
-0.1693 -4.7288 4.3839
ATOMIC_POSITIONS angstrom
Al 0.0000 0.0000 0.0000
Ga -3.4140 -2.2797 3.5835
Fe -2.3754 -2.1098 1.3138
Fe -1.6536 -0.6187 2.9500
Fe -5.1743 -3.9408 4.2169
Fe -4.4525 -2.4497 5.8532
Fe -2.5941 -4.3121 5.0739
Fe -4.2339 -0.2474 2.0931
```

# 3
FeNiAsSe after structural relaxation. Source: Alexandria via LeMat-Bulk, functional GGA-PBE. Values from VASP.

Output
total magnetic moment = 5.81 μB/cell
mass density = 6.7 Mg/m³
E above lowest polymorph = 0.00 eV per formula unit
energy = -5.76 eV/atom
Fermi-level density of states = 10.126 states/eV/cell

Structure (Quantum ESPRESSO input):
```
&SYSTEM
  ibrav = 0, nat = 12, ntyp = 4
/
ATOMIC_SPECIES
Ni 58.69 Ni.upf
As 74.92 As.upf
Fe 55.84 Fe.upf
Se 78.96 Se.upf
CELL_PARAMETERS angstrom
3.5273 0.0000 0.0000
-1.7637 3.0548 0.0000
0.0000 0.0000 18.5524
ATOMIC_POSITIONS angstrom
Ni 0.0000 0.0000 5.3995
Ni 0.0000 2.0365 17.7677
Ni 1.7637 1.0183 11.5836
As 0.0000 0.0000 16.6908
As 0.0000 2.0365 10.5067
As 1.7637 1.0183 4.3226
Fe 0.0000 0.0000 2.8495
Fe 0.0000 2.0365 15.2177
Fe 1.7637 1.0183 9.0336
Se 0.0000 0.0000 7.7033
Se 0.0000 2.0365 1.5192
Se 1.7637 1.0183 13.8874
```

# 4
GaCoCl3 after structural relaxation. Source: Alexandria via LeMat-Bulk, functional GGA-PBE. Values from VASP.

Output
total magnetic moment = 2.76 μB/cell
mass density = 3.5 Mg/m³
energy = -3.61 eV/atom
Fermi-level density of states = 7.297 states/eV/cell

Structure (Quantum ESPRESSO input):
```
&SYSTEM
  ibrav = 0, nat = 5, ntyp = 3
/
ATOMIC_SPECIES
Co 58.93 Co.upf
Ga 69.72 Ga.upf
Cl 35.45 Cl.upf
CELL_PARAMETERS angstrom
4.8213 0.0000 0.0000
0.0000 4.8213 0.0000
0.0000 0.0000 4.8213
ATOMIC_POSITIONS angstrom
Co 0.0000 0.0000 0.0000
Ga 2.4106 2.4106 2.4106
Cl 0.0000 2.4106 0.0000
Cl 0.0000 0.0000 2.4106
Cl 2.4106 0.0000 0.0000
```

# 5
Cs3Cu2I5 after structural relaxation. Source: Alexandria via LeMat-Bulk, functional GGA-PBE. Values from VASP.

Output
total magnetic moment = 0.00 μB/cell
mass density = 4.2 Mg/m³
energy = -2.86 eV/atom
Fermi-level density of states = 0.000 states/eV/cell

Structure (Quantum ESPRESSO input):
```
&SYSTEM
  ibrav = 0, nat = 40, ntyp = 3
/
ATOMIC_SPECIES
Cs 132.91 Cs.upf
I 126.90 I.upf
Cu 63.55 Cu.upf
CELL_PARAMETERS angstrom
-3.6438 2.6414 -9.4197
-9.4692 -6.9097 1.7254
-7.1807 11.3273 5.9539
ATOMIC_POSITIONS angstrom
Cs -17.2809 3.9932 1.4074
Cs -9.9013 4.2333 4.4051
Cs -7.4892 -0.2008 -2.3322
Cs -5.9159 6.0921 -6.9611
Cs -3.0127 3.0657 -3.1479
Cs -10.3924 2.8257 -6.1455
Cs -12.8045 7.2597 0.5918
Cs -14.3777 0.9668 5.2207
Cs -10.7510 -2.2459 -6.9734
Cs -11.8364 1.0197 0.1471
Cs -9.5427 9.3049 5.2330
Cs -8.4572 6.0393 -1.8875
I -13.4294 3.7512 2.3437
I -15.8257 5.9779 -1.8899
I -6.8642 3.3077 -4.0841
I -4.4680 1.0810 0.1495
I -9.5787 6.6446 -5.6186
I -9.3574 -2.2643 0.6013
I -11.1514 10.6787 1.9059
I -10.7149 0.4143 3.8782
I -9.1422 -3.6198 -3.6463
I -8.5337 7.0866 1.8867
I -10.9362 9.3232 -2.3417
I -11.7599 -0.0277 -3.6271
I -11.8094 4.1821 -2.2685
I -16.3884 4.7806 5.4555
I -4.9396 5.4633 -0.1178
I -7.4498 -0.3082 -6.5501
I -8.4842 2.8768 0.5281
I -3.9052 2.2783 -7.1959
I -15.3540 1.5956 -1.6226
I -12.8438 7.3671 4.8097
Cu -5.9696 1.6588 -5.7779
Cu -8.4594 -3.9317 -1.1477
Cu -13.2462 2.0662 -3.3990
Cu -11.8343 10.9906 -0.5927
Cu -7.0474 4.9927 1.6586
Cu -14.3240 5.4001 4.0375
Cu -14.3734 3.9247 -2.1420
Cu -5.9202 3.1342 0.4016
```

# 6
LiNd3Pu2Te6 after structural relaxation. Source: Alexandria via LeMat-Bulk, functional GGA-PBE. Values from VASP.

Output
total magnetic moment = 11.87 μB/cell
mass density = 7.5 Mg/m³
energy = -6.59 eV/atom
Fermi-level density of states = 25.946 states/eV/cell

Structure (Quantum ESPRESSO input):
```
&SYSTEM
  ibrav = 0, nat = 12, ntyp = 4
/
ATOMIC_SPECIES
Li 6.94 Li.upf
Nd 144.24 Nd.upf
Pu 244.00 Pu.upf
Te 127.60 Te.upf
CELL_PARAMETERS angstrom
-1.5990 3.9538 1.2599
-8.2183 -3.4353 0.3503
4.2657 -3.4310 8.3325
ATOMIC_POSITIONS angstrom
Li -0.7995 1.9769 0.6299
Nd -4.9087 0.2593 0.8051
Nd 0.1204 0.4353 6.6355
Nd -5.6720 -3.3477 3.3072
Pu -3.9777 -1.2936 6.8598
Pu -1.5739 -1.6189 3.0828
Te -5.1961 -4.1380 6.3912
Te -4.3856 -0.4986 3.8474
Te -0.3555 1.2255 3.5515
Te 0.6987 -0.2976 9.6693
Te -6.2503 -2.6149 0.2734
Te -1.1660 -2.4138 6.0953
```

# 7
HoThTcHg after structural relaxation. Source: Alexandria via LeMat-Bulk, functional GGA-PBE. Values from VASP.

Output
total magnetic moment = 0.00 μB/cell
calculated formation energy = -43 kJ/mol of formula units
mass density = 12.1 Mg/m³
energy = -5.78 eV/atom
Fermi-level density of states = 3.927 states/eV/cell

Structure (Quantum ESPRESSO input):
```
&SYSTEM
  ibrav = 0, nat = 4, ntyp = 4
/
ATOMIC_SPECIES
Tc 98.00 Tc.upf
Hg 200.59 Hg.upf
Th 232.04 Th.upf
Ho 164.93 Ho.upf
CELL_PARAMETERS angstrom
5.1360 0.0000 0.0000
2.5680 4.4479 0.0000
2.5680 1.4826 4.1935
ATOMIC_POSITIONS angstrom
Tc 2.5680 1.4826 1.0484
Hg 7.7040 4.4479 3.1452
Th 0.0000 0.0000 0.0000
Ho 5.1360 2.9653 2.0968
```

# 8
TmLuPt2 after structural relaxation. Source: Alexandria via LeMat-Bulk, functional GGA-PBE. Values from VASP.

Output
total magnetic moment = 0.00 μB/cell
calculated formation energy = -501 kJ/mol of formula units
mass density = 15.0 Mg/m³
E above lowest polymorph = 0.00 eV per formula unit
energy = -6.57 eV/atom
Fermi-level density of states = 2.047 states/eV/cell

Structure (Quantum ESPRESSO input):
```
&SYSTEM
  ibrav = 0, nat = 4, ntyp = 3
/
ATOMIC_SPECIES
Lu 174.97 Lu.upf
Tm 168.93 Tm.upf
Pt 195.08 Pt.upf
CELL_PARAMETERS angstrom
3.4211 0.0000 0.0000
0.0000 4.8683 0.0000
0.0000 0.0000 4.8683
ATOMIC_POSITIONS angstrom
Lu 1.7105 2.4341 2.4341
Tm 1.7105 0.0000 0.0000
Pt 0.0000 0.0000 2.4341
Pt 0.0000 2.4341 0.0000
```